Entry from Alexandria: Nd4YRh2 after structural relaxation (PBE-GGA).

## Properties
energy = -6.114 eV/atom
M_tot = 0.00 μB/f.u.
theoretical density = 7403 kg/m3
energy relative to the elements = -0.37 eV per atom

Lattice parameters (Å, degrees): 8.059 6.521 8.130 90.00 113.77 90.00
Atoms (fractional coordinates):
Nd: 0.016 0.250 0.379
Nd: 0.251 0.750 0.340
Nd: 0.413 0.004 0.771
Nd: 0.413 0.496 0.771
Nd: 0.587 0.504 0.229
Nd: 0.587 0.996 0.229
Nd: 0.749 0.250 0.660
Nd: 0.984 0.750 0.621
Y: 0.154 0.250 0.030
Y: 0.846 0.750 0.970
Rh: 0.227 0.750 0.991
Rh: 0.369 0.250 0.408
Rh: 0.631 0.750 0.592
Rh: 0.773 0.250 0.009